Record 1
Here is a crystal of CrW2 relaxed with PBEsol from Alexandria via LeMat-Bulk. Energies are from SCAN.

a = 3.0593 Å, b = 3.0593 Å, c = 9.1361 Å
α = 90.00°, β = 90.00°, γ = 90.00°
Sites, in units of the cell vectors:
Cr 0.0000 0.0000 0.0000
Cr 0.5000 0.5000 0.5000
W 0.0000 0.0000 0.3383
W 0.0000 0.0000 0.6617
W 0.5000 0.5000 0.1617
W 0.5000 0.5000 0.8383

Values from the calculation:
Space group = No. 139
E above lowest polymorph = 5 meV per atom
ΔH_f (0 K) = 0.055 eV per atom
Magnetization = 0.0 μB/f.u.



Record 2
Here is a crystal of CrW2 relaxed with PBEsol from Alexandria via LeMat-Bulk. Energies are from SCAN.

a = 2.8782 Å, b = 2.8782 Å, c = 6.1244 Å
α = 90.00°, β = 90.00°, γ = 120.00°
Sites, in units of the cell vectors:
Cr 0.0000 0.0000 0.0000
W 0.3333 0.6667 0.6821
W 0.6667 0.3333 0.3179

Values from the calculation:
Space group = No. 164
E above lowest polymorph = 423 meV per atom
ΔH_f (0 K) = 0.473 eV per atom
Magnetization = 0.0 μB/f.u.



Record 3
Here is a crystal of CrW3 relaxed with PBEsol from Alexandria via LeMat-Bulk. Energies are from SCAN.

a = 4.3616 Å, b = 4.3616 Å, c = 3.0879 Å
α = 90.00°, β = 90.00°, γ = 90.00°
Sites, in units of the cell vectors:
Cr 0.0000 0.0000 0.0000
W 0.0000 0.5000 0.5000
W 0.5000 0.0000 0.5000
W 0.5000 0.5000 0.0000

Values from the calculation:
Space group = No. 123
ΔH_f (0 K) = 0.054 eV per atom
Magnetization = 0.0 μB/f.u.



Record 4
Here is a crystal of Cr5W11 relaxed with PBEsol from Alexandria via LeMat-Bulk. Energies are from SCAN.

a = 6.1306 Å, b = 6.1370 Å, c = 6.1397 Å
α = 90.00°, β = 90.25°, γ = 90.00°
Sites, in units of the cell vectors:
Cr 0.0000 0.0000 0.0000
Cr 0.9999 0.0000 0.4912
Cr 0.5041 0.5000 0.4938
Cr 0.7546 0.2472 0.2468
Cr 0.7546 0.7528 0.2468
W 0.2488 0.2469 0.2481
W 0.2488 0.7531 0.2481
W 0.2505 0.2474 0.7431
W 0.2505 0.7526 0.7431
W 0.5079 0.5000 0.0032
W 0.5100 0.0000 0.0009
W 0.5100 0.0000 0.4897
W 0.7555 0.2474 0.7424
W 0.7555 0.7526 0.7424
W 0.9949 0.5000 0.4895
W 0.9976 0.5000 0.0003

Values from the calculation:
Space group = No. 6
ΔH_f (0 K) = 0.080 eV per atom
Magnetization = 0.0 μB/f.u.



Record 5
Here is a crystal of Cr5W4 relaxed with PBEsol from Alexandria via LeMat-Bulk. Energies are from SCAN.

a = 6.4956 Å, b = 6.4956 Å, c = 6.4956 Å
α = 93.06°, β = 93.06°, γ = 153.27°
Sites, in units of the cell vectors:
Cr 0.0000 0.0000 0.0000
Cr 0.3366 0.3366 0.6732
Cr 0.3366 0.6634 0.0000
Cr 0.6634 0.3366 0.0000
Cr 0.6634 0.6634 0.3268
W 0.0000 0.3230 0.3230
W 0.0000 0.6770 0.6770
W 0.3230 0.0000 0.3230
W 0.6770 0.0000 0.6770

Values from the calculation:
Space group = No. 139
ΔH_f (0 K) = 0.090 eV per atom
Magnetization = 0.0 μB/f.u.



Record 6
Here is a crystal of Cr3W13 relaxed with PBEsol from Alexandria via LeMat-Bulk. Energies are from SCAN.

a = 6.2112 Å, b = 6.2055 Å, c = 6.2055 Å
α = 89.72°, β = 90.00°, γ = 90.00°
Sites, in units of the cell vectors:
Cr 0.0000 0.0000 0.0000
Cr 0.2484 0.7525 0.7525
Cr 0.7516 0.7525 0.7525
W 0.0000 0.5060 0.5060
W 0.0000 0.5088 0.9957
W 0.0000 0.9957 0.5088
W 0.2475 0.2483 0.7542
W 0.2476 0.2494 0.2494
W 0.2475 0.7542 0.2483
W 0.5000 0.5058 0.5058
W 0.5000 0.5062 0.9963
W 0.5000 0.9963 0.5062
W 0.5000 0.9964 0.9964
W 0.7525 0.2483 0.7542
W 0.7524 0.2494 0.2494
W 0.7525 0.7542 0.2483

Values from the calculation:
Space group = No. 38
ΔH_f (0 K) = 0.054 eV per atom
Magnetization = 0.0 μB/f.u.



Record 7
Here is a crystal of CrW2 relaxed with PBEsol from Alexandria via LeMat-Bulk. Energies are from SCAN.

a = 4.0769 Å, b = 4.0769 Å, c = 2.9076 Å
α = 90.00°, β = 90.00°, γ = 90.00°
Sites, in units of the cell vectors:
Cr 0.0000 0.0000 0.0000
W 0.0000 0.5000 0.5000
W 0.5000 0.0000 0.5000

Values from the calculation:
Space group = No. 123
E above lowest polymorph = 892 meV per atom
ΔH_f (0 K) = 0.942 eV per atom
Magnetization = 0.0 μB/f.u.



Record 8
Here is a crystal of CrW2 relaxed with PBEsol from Alexandria via LeMat-Bulk. Energies are from SCAN.

a = 4.3064 Å, b = 4.3064 Å, c = 2.6795 Å
α = 90.00°, β = 90.00°, γ = 120.00°
Sites, in units of the cell vectors:
Cr 0.0000 0.0000 0.0000
W 0.3333 0.6667 0.6753
W 0.6667 0.3333 0.3247

Values from the calculation:
Space group = No. 164
E above lowest polymorph = 33 meV per atom
ΔH_f (0 K) = 0.083 eV per atom
Magnetization = 0.0 μB/f.u.



Record 9
Here is a crystal of CrW3 relaxed with PBEsol from Alexandria via LeMat-Bulk. Energies are from SCAN.

a = 2.6895 Å, b = 4.3474 Å, c = 5.1102 Å
α = 90.00°, β = 99.95°, γ = 90.00°
Sites, in units of the cell vectors:
Cr 0.0000 0.0000 0.0000
W 0.2459 0.5000 0.7549
W 0.5000 0.0000 0.5000
W 0.7541 0.5000 0.2451

Values from the calculation:
Space group = No. 10
ΔH_f (0 K) = 0.072 eV per atom
Magnetization = 0.0 μB/f.u.



Record 10
Here is a crystal of CrW3 relaxed with PBEsol from Alexandria via LeMat-Bulk. Energies are from SCAN.

a = 6.1702 Å, b = 6.1702 Å, c = 6.1787 Å
α = 90.10°, β = 90.10°, γ = 89.62°
Sites, in units of the cell vectors:
Cr 0.0000 0.0000 0.0000
Cr 0.0000 0.0000 0.4966
Cr 0.5017 0.5017 0.4973
Cr 0.7515 0.7515 0.2495
W 0.2466 0.7543 0.2505
W 0.2485 0.7537 0.7457
W 0.2487 0.2487 0.2507
W 0.2487 0.2487 0.7459
W 0.5032 0.5032 0.0017
W 0.5043 0.9974 0.4954
W 0.5042 0.9983 0.0006
W 0.7543 0.2466 0.2505
W 0.7537 0.2485 0.7457
W 0.7536 0.7536 0.7453
W 0.9974 0.5043 0.4954
W 0.9983 0.5042 0.0006

Values from the calculation:
Space group = No. 8
ΔH_f (0 K) = 0.066 eV per atom
Magnetization = 0.0 μB/f.u.



Record 11
Here is a crystal of Cr3W4 relaxed with PBEsol from Alexandria via LeMat-Bulk. Energies are from SCAN.

a = 4.7673 Å, b = 4.7673 Å, c = 4.9420 Å
α = 90.00°, β = 90.00°, γ = 120.00°
Sites, in units of the cell vectors:
Cr 0.0000 0.5000 0.0000
Cr 0.5000 0.0000 0.0000
Cr 0.5000 0.5000 0.0000
W 0.0000 0.0000 0.2514
W 0.0000 0.0000 0.7486
W 0.3333 0.6667 0.5000
W 0.6667 0.3333 0.5000

Values from the calculation:
Space group = No. 191
E above lowest polymorph = 40 meV per atom
ΔH_f (0 K) = 0.115 eV per atom
Magnetization = 0.0 μB/f.u.



Record 12
Here is a crystal of CrW7 relaxed with PBEsol from Alexandria via LeMat-Bulk. Energies are from SCAN.

a = 6.2437 Å, b = 6.2437 Å, c = 6.2437 Å
α = 89.89°, β = 89.89°, γ = 89.89°
Sites, in units of the cell vectors:
Cr 0.1242 0.1242 0.1242
Cr 0.8758 0.8758 0.8758
W 0.1226 0.1226 0.6281
W 0.1226 0.6272 0.6272
W 0.1226 0.6281 0.1226
W 0.3719 0.8774 0.8774
W 0.3729 0.3729 0.3729
W 0.3728 0.3728 0.8774
W 0.3728 0.8774 0.3728
W 0.6272 0.1226 0.6272
W 0.6272 0.6272 0.1226
W 0.6271 0.6271 0.6271
W 0.6281 0.1226 0.1226
W 0.8774 0.3719 0.8774
W 0.8774 0.3728 0.3728
W 0.8774 0.8774 0.3719

Values from the calculation:
Space group = No. 166
ΔH_f (0 K) = 0.041 eV per atom
Magnetization = 0.0 μB/f.u.



Record 13
Here is a crystal of CrW2 relaxed with PBEsol from Alexandria via LeMat-Bulk. Energies are from SCAN.

a = 3.0745 Å, b = 4.3776 Å, c = 12.7830 Å
α = 90.00°, β = 90.00°, γ = 90.00°
Sites, in units of the cell vectors:
Cr 0.0000 0.0000 0.0000
Cr 0.0000 0.5000 0.5000
Cr 0.5000 0.0000 0.5000
Cr 0.5000 0.5000 0.0000
W 0.0000 0.0000 0.3391
W 0.0000 0.0000 0.6609
W 0.0000 0.5000 0.1609
W 0.0000 0.5000 0.8391
W 0.5000 0.0000 0.1609
W 0.5000 0.0000 0.8391
W 0.5000 0.5000 0.3391
W 0.5000 0.5000 0.6609

Values from the calculation:
Space group = No. 69
E above lowest polymorph = 32 meV per atom
ΔH_f (0 K) = 0.082 eV per atom
Magnetization = 0.0 μB/f.u.